DFT (meta-GGA SCAN) results for a crystal of P2HOsS relaxed with PBEsol.

Summary:
**E_tot**: -20.01 eV/atom

a b c (Å): 3.583 3.583 4.488
angles (deg): 90.00 90.00 90.00
Positions (direct):
P1 0.000 0.500 0.000
P2 0.500 0.000 0.000
H1 0.000 0.000 0.000
Os1 0.500 0.500 0.500
S1 0.000 0.000 0.500

=====

DFT (meta-GGA SCAN) results for a crystal of Ca2LaI relaxed with PBEsol.

Summary:
**Uncorrected formation energy**: 37 meV/atom

a b c (Å): 5.831 5.831 5.831
angles (deg): 60.00 60.00 60.00
Positions (direct):
Ca1 0.250 0.250 0.250
Ca2 0.750 0.750 0.750
La1 0.000 0.000 0.000
I1 0.500 0.500 0.500

=====

DFT (meta-GGA SCAN) results for a crystal of YCoIr2 relaxed with PBEsol.

Summary:
**Energy relative to the lowest polymorph listed for this composition**: 0.123 eV per atom

a b c (Å): 4.676 4.676 2.927
angles (deg): 90.00 90.00 106.39
Positions (direct):
Y1 0.000 0.000 0.000
Co1 0.500 0.500 0.000
Ir1 0.000 0.500 0.500
Ir2 0.500 0.000 0.500

=====

DFT (meta-GGA SCAN) results for a crystal of AgGe3B relaxed with PBEsol.

Summary:
**Energy relative to the lowest polymorph listed for this composition**: 0.000 eV per atom

a b c (Å): 4.357 4.357 4.357
angles (deg): 90.00 90.00 90.00
Positions (direct):
Ag1 0.000 0.000 0.000
Ge1 0.000 0.500 0.500
Ge2 0.500 0.000 0.500
Ge3 0.500 0.500 0.000
B1 0.500 0.500 0.500

=====

DFT (meta-GGA SCAN) results for a crystal of TcP2Pb relaxed with PBEsol.

Summary:
**E_tot**: -32.82 eV/atom

a b c (Å): 3.940 3.226 6.102
angles (deg): 90.00 106.43 90.00
Positions (direct):
Tc1 0.000 0.000 0.000
P1 0.570 0.000 0.236
P2 0.969 0.500 0.280
Pb1 0.379 0.500 0.739

=====

DFT (meta-GGA SCAN) results for a crystal of MgTl relaxed with PBEsol.

Summary:
**E_tot**: -38.76 eV/atom

a b c (Å): 5.839 5.839 7.985
angles (deg): 108.60 108.60 34.51
Positions (direct):
Mg1 0.000 0.000 0.000
Mg2 0.063 0.063 0.591
Mg3 0.705 0.705 0.335
Tl1 0.349 0.349 0.668
Tl2 0.419 0.419 0.266
Tl3 0.708 0.708 0.932

=====

DFT (meta-GGA SCAN) results for a crystal of ZnRh2AuC relaxed with PBEsol.

Summary:
**E_tot**: -31.87 eV/atom

a b c (Å): 3.974 3.974 4.275
angles (deg): 90.00 90.00 90.00
Positions (direct):
Zn1 0.000 0.000 0.000
Rh1 0.000 0.500 0.500
Rh2 0.500 0.000 0.500
Au1 0.500 0.500 0.000
C1 0.500 0.500 0.500

=====

DFT (meta-GGA SCAN) results for a crystal of Zr2CoAu relaxed with PBEsol.

Summary:
**Energy relative to the lowest polymorph listed for this composition**: 0.033 eV per atom

a b c (Å): 3.132 3.081 7.150
angles (deg): 90.00 92.20 90.00
Positions (direct):
Zr1 0.023 0.000 0.279
Zr2 0.977 0.000 0.721
Co1 0.500 0.500 0.500
Au1 0.500 0.500 0.000